Record 1
# Li3AuO2 | Alexandria via LeMat-Bulk | PBE | relaxed
# Energy relative to the elements, uncorrected: -1359 meV per atom
data_Li3AuO2
_chemical_formula_sum 'Li6 Au2 O4'
_symmetry_space_group_name_H-M 'P 1'
_symmetry_Int_Tables_number 1
_cell_length_a 5.510
_cell_length_b 4.937
_cell_length_c 6.110
_cell_angle_alpha 66.17
_cell_angle_beta 63.19
_cell_angle_gamma 90.00
loop_
_symmetry_equiv_pos_as_xyz
'x,y,z'
loop_
_atom_site_label
_atom_site_fract_x
_atom_site_fract_y
_atom_site_fract_z
Au1 0.000 0.000 0.000
O1 0.146 0.836 0.709
O2 0.854 0.164 0.291
Li1 0.994 0.244 0.511
Li2 0.494 0.244 0.511
O3 0.354 0.544 0.291
O4 0.646 0.456 0.709
Li3 0.006 0.756 0.489
Li4 0.250 0.500 0.000
Li5 0.506 0.756 0.489
Au2 0.500 0.000 0.000
Li6 0.750 0.500 0.000

***

Record 2
Entry from Alexandria via LeMat-Bulk: crystalline SmSn4Rh4 at its relaxed geometry (PBE).

The structure in CIF format:
```
data_SmSn4Rh4
_chemical_formula_sum 'Sm2 Sn8 Rh8'
_symmetry_space_group_name_H-M 'P 1'
_symmetry_Int_Tables_number 1
_cell_length_a 5.160
_cell_length_b 8.857
_cell_length_c 8.857
_cell_angle_alpha 90.00
_cell_angle_beta 90.00
_cell_angle_gamma 90.00
loop_
_symmetry_equiv_pos_as_xyz
'x,y,z'
loop_
_atom_site_label
_atom_site_fract_x
_atom_site_fract_y
_atom_site_fract_z
Rh1 0.005 0.147 0.291
Sn1 0.995 0.403 0.146
Sn2 0.495 0.646 0.097
Sn3 0.505 0.903 0.646
Sn4 0.995 0.597 0.854
Rh2 0.495 0.353 0.209
Sn5 0.495 0.354 0.903
Sn6 0.005 0.146 0.597
Rh3 0.995 0.709 0.147
Rh4 0.005 0.853 0.709
Sm1 0.000 0.000 0.000
Rh5 0.505 0.791 0.353
Rh6 0.995 0.291 0.853
Sm2 0.500 0.500 0.500
Rh7 0.495 0.647 0.791
Sn7 0.505 0.097 0.354
Sn8 0.005 0.854 0.403
Rh8 0.505 0.209 0.647
```

***

Record 3
# HfSiSe2 | Alexandria via LeMat-Bulk | PBE | relaxed
# Energy relative to the elements, uncorrected: -491 meV per atom
data_HfSiSe2
_chemical_formula_sum 'Hf1 Si1 Se2'
_symmetry_space_group_name_H-M 'P 1'
_symmetry_Int_Tables_number 1
_cell_length_a 8.956
_cell_length_b 8.956
_cell_length_c 8.956
_cell_angle_alpha 23.09
_cell_angle_beta 23.09
_cell_angle_gamma 23.09
loop_
_symmetry_equiv_pos_as_xyz
'x,y,z'
loop_
_atom_site_label
_atom_site_fract_x
_atom_site_fract_y
_atom_site_fract_z
Se1 0.102 0.102 0.102
Si1 0.000 0.000 0.000
Se2 0.898 0.898 0.898
Hf1 0.500 0.500 0.500

***

Record 4
# NiPbCl2 | Alexandria via LeMat-Bulk | PBE | relaxed
# Energy above the most stable polymorph in this dataset: 0.0000 eV per atom
# Energy relative to the elements, uncorrected: -472 meV per atom
data_NiPbCl2
_chemical_formula_sum 'Ni1 Pb1 Cl2'
_symmetry_space_group_name_H-M 'P 1'
_symmetry_Int_Tables_number 1
_cell_length_a 3.681
_cell_length_b 4.289
_cell_length_c 6.851
_cell_angle_alpha 71.82
_cell_angle_beta 90.00
_cell_angle_gamma 90.00
loop_
_symmetry_equiv_pos_as_xyz
'x,y,z'
loop_
_atom_site_label
_atom_site_fract_x
_atom_site_fract_y
_atom_site_fract_z
Cl1 0.500 0.387 0.350
Pb1 0.500 0.724 0.678
Cl2 0.000 0.109 0.907
Ni1 0.000 0.280 0.565

***

Record 5
Entry from Alexandria via LeMat-Bulk: crystalline BePt2 at its relaxed geometry (PBE).

The structure in CIF format:
```
data_BePt2
_chemical_formula_sum 'Be2 Pt4'
_symmetry_space_group_name_H-M 'P 1'
_symmetry_Int_Tables_number 1
_cell_length_a 6.922
_cell_length_b 6.922
_cell_length_c 4.202
_cell_angle_alpha 90.00
_cell_angle_beta 90.00
_cell_angle_gamma 156.89
loop_
_symmetry_equiv_pos_as_xyz
'x,y,z'
loop_
_atom_site_label
_atom_site_fract_x
_atom_site_fract_y
_atom_site_fract_z
Pt1 0.427 0.573 0.750
Pt2 0.292 0.708 0.250
Be1 0.932 0.068 0.250
Pt3 0.573 0.427 0.250
Be2 0.068 0.932 0.750
Pt4 0.708 0.292 0.750
```

***

Record 6
Entry from Alexandria via LeMat-Bulk: crystalline Zn2PdAu5 at its relaxed geometry (PBE).

The structure in CIF format:
```
data_Zn2PdAu5
_chemical_formula_sum 'Zn4 Pd2 Au10'
_symmetry_space_group_name_H-M 'P 1'
_symmetry_Int_Tables_number 1
_cell_length_a 3.985
_cell_length_b 5.860
_cell_length_c 11.497
_cell_angle_alpha 90.00
_cell_angle_beta 90.00
_cell_angle_gamma 90.00
loop_
_symmetry_equiv_pos_as_xyz
'x,y,z'
loop_
_atom_site_label
_atom_site_fract_x
_atom_site_fract_y
_atom_site_fract_z
Au1 0.000 0.504 0.251
Pd1 0.000 0.500 0.000
Au2 0.000 0.004 0.249
Au3 0.000 0.500 0.500
Zn1 0.500 0.734 0.881
Au4 0.500 0.251 0.875
Zn2 0.500 0.266 0.119
Zn3 0.500 0.234 0.619
Zn4 0.500 0.766 0.381
Au5 0.000 0.996 0.751
Au6 0.000 0.496 0.749
Au7 0.500 0.749 0.125
Au8 0.500 0.249 0.375
Au9 0.500 0.751 0.625
Pd2 0.000 0.000 0.500
Au10 0.000 0.000 0.000
```

***

Record 7
# TiPtSF2 | Alexandria via LeMat-Bulk | PBE | relaxed
# Energy relative to the elements, uncorrected: -1619 meV per atom
data_TiPtSF2
_chemical_formula_sum 'Ti1 Pt1 S1 F2'
_symmetry_space_group_name_H-M 'P 1'
_symmetry_Int_Tables_number 1
_cell_length_a 3.768
_cell_length_b 5.353
_cell_length_c 3.768
_cell_angle_alpha 90.00
_cell_angle_beta 90.00
_cell_angle_gamma 90.00
loop_
_symmetry_equiv_pos_as_xyz
'x,y,z'
loop_
_atom_site_label
_atom_site_fract_x
_atom_site_fract_y
_atom_site_fract_z
S1 0.500 0.500 0.500
Pt1 0.000 0.500 0.000
F1 0.500 0.000 0.000
F2 0.000 0.000 0.500
Ti1 0.000 0.000 0.000

***

Record 8
# Ag2PdAu6 | Alexandria via LeMat-Bulk | PBE | relaxed
# Energy above the most stable polymorph in this dataset: 0.0000 eV per atom
data_Ag2PdAu6
_chemical_formula_sum 'Ag2 Pd1 Au6'
_symmetry_space_group_name_H-M 'P 1'
_symmetry_Int_Tables_number 1
_cell_length_a 4.835
_cell_length_b 7.986
_cell_length_c 6.282
_cell_angle_alpha 129.46
_cell_angle_beta 111.64
_cell_angle_gamma 90.00
loop_
_symmetry_equiv_pos_as_xyz
'x,y,z'
loop_
_atom_site_label
_atom_site_fract_x
_atom_site_fract_y
_atom_site_fract_z
Au1 0.500 0.820 0.000
Au2 0.500 0.180 0.000
Au3 0.164 0.479 0.330
Ag1 0.333 0.332 0.664
Pd1 0.000 0.000 0.000
Au4 0.836 0.150 0.670
Au5 0.836 0.521 0.670
Ag2 0.667 0.668 0.336
Au6 0.164 0.850 0.330

***

Record 9
Entry from Alexandria via LeMat-Bulk: crystalline MgNb2Ru4 at its relaxed geometry (PBE).

The structure in CIF format:
```
data_MgNb2Ru4
_chemical_formula_sum 'Mg1 Nb2 Ru4'
_symmetry_space_group_name_H-M 'P 1'
_symmetry_Int_Tables_number 1
_cell_length_a 5.340
_cell_length_b 5.340
_cell_length_c 5.340
_cell_angle_alpha 107.42
_cell_angle_beta 110.50
_cell_angle_gamma 110.50
loop_
_symmetry_equiv_pos_as_xyz
'x,y,z'
loop_
_atom_site_label
_atom_site_fract_x
_atom_site_fract_y
_atom_site_fract_z
Nb1 0.500 0.000 0.500
Ru1 0.000 0.500 0.000
Ru2 0.500 0.000 0.000
Ru3 0.000 0.000 0.500
Nb2 0.500 0.500 0.000
Ru4 0.500 0.500 0.500
Mg1 0.000 0.000 0.000
```

***

Record 10
Entry from Alexandria via LeMat-Bulk: crystalline TmScGa2Pd2 at its relaxed geometry (PBE).

The structure in CIF format:
```
data_TmScGa2Pd2
_chemical_formula_sum 'Tm1 Sc1 Ga2 Pd2'
_symmetry_space_group_name_H-M 'P 1'
_symmetry_Int_Tables_number 1
_cell_length_a 4.453
_cell_length_b 4.453
_cell_length_c 6.445
_cell_angle_alpha 90.00
_cell_angle_beta 90.00
_cell_angle_gamma 120.00
loop_
_symmetry_equiv_pos_as_xyz
'x,y,z'
loop_
_atom_site_label
_atom_site_fract_x
_atom_site_fract_y
_atom_site_fract_z
Ga1 0.333 0.667 0.725
Ga2 0.667 0.333 0.275
Tm1 0.000 0.000 0.000
Pd1 0.667 0.333 0.729
Pd2 0.333 0.667 0.271
Sc1 0.000 0.000 0.500
```

***

Record 11
# RbInCuSi2 | Alexandria via LeMat-Bulk | PBE | relaxed
# Energy relative to the elements, uncorrected: 1900 meV per atom
data_RbInCuSi2
_chemical_formula_sum 'Rb1 In1 Cu1 Si2'
_symmetry_space_group_name_H-M 'P 1'
_symmetry_Int_Tables_number 1
_cell_length_a 5.721
_cell_length_b 5.268
_cell_length_c 5.721
_cell_angle_alpha 90.00
_cell_angle_beta 90.00
_cell_angle_gamma 90.00
loop_
_symmetry_equiv_pos_as_xyz
'x,y,z'
loop_
_atom_site_label
_atom_site_fract_x
_atom_site_fract_y
_atom_site_fract_z
In1 0.500 0.500 0.500
Cu1 0.000 0.500 0.000
Si1 0.500 0.000 0.000
Si2 0.000 0.000 0.500
Rb1 0.000 0.000 0.000

***

Record 12
# Ba2BeBr | Alexandria via LeMat-Bulk | PBE | relaxed
# Energy above the most stable polymorph in this dataset: 0.0689 eV per atom
# Energy relative to the elements, uncorrected: -402 meV per atom
data_Ba2BeBr
_chemical_formula_sum 'Ba2 Be1 Br1'
_symmetry_space_group_name_H-M 'P 1'
_symmetry_Int_Tables_number 1
_cell_length_a 9.234
_cell_length_b 9.234
_cell_length_c 9.234
_cell_angle_alpha 153.51
_cell_angle_beta 154.05
_cell_angle_gamma 37.42
loop_
_symmetry_equiv_pos_as_xyz
'x,y,z'
loop_
_atom_site_label
_atom_site_fract_x
_atom_site_fract_y
_atom_site_fract_z
Be1 0.453 0.453 0.000
Ba1 0.809 0.309 0.500
Ba2 0.034 0.034 0.000
Br1 0.205 0.705 0.500

***

| no. | raw total energy (eV per atom) |
| --- | --- |
| 1 | -4.52 |
| 2 | -5.94 |
| 3 | -6.08 |
| 4 | -3.77 |
| 5 | -5.83 |
| 6 | -3.21 |
| 7 | -5.98 |
| 8 | -3.38 |
| 9 | -8.20 |
| 10 | -5.40 |
| 11 | -1.83 |
| 12 | -2.71 |